1.
This record from the Alexandria database describes a relaxed Th2TlAu crystal. The functional is GGA-PBE.

Calculated values
- magnetic moment (μB per formula unit) = 0.0

Cell: 4.615 4.615 7.342 Å, 71.68 71.68 60.00°
Fractional positions:
1 Th 0.073 0.073 0.780
2 Th 0.263 0.263 0.211
3 Tl 0.499 0.499 0.502
4 Au 0.664 0.664 0.007



2.
This record from the Alexandria database describes a relaxed Th6Tl3Au crystal. The functional is GGA-PBE.

Calculated values
- magnetic moment (μB per formula unit) = 0.0

Cell: 5.467 9.455 11.896 Å, 90.00 89.99 90.00°
Fractional positions:
1 Tl 0.500 0.500 0.000
2 Th 0.998 0.000 0.239
3 Th 0.000 0.336 0.421
4 Tl 0.502 0.834 0.745
5 Th 0.500 0.164 0.921
6 Th 0.500 0.169 0.581
7 Th 0.502 0.500 0.261
8 Th 0.500 0.831 0.419
9 Tl 0.000 0.000 0.500
10 Th 0.000 0.664 0.579
11 Tl 0.002 0.666 0.245
12 Th 0.000 0.669 0.919
13 Th 0.498 0.500 0.739
14 Th 0.002 0.000 0.761
15 Th 0.000 0.331 0.081
16 Tl 0.498 0.166 0.255
17 Tl 0.998 0.334 0.755
18 Th 0.500 0.836 0.079
19 Au 0.500 0.500 0.500
20 Au 0.000 0.000 0.000



3.
This record from the Alexandria database describes a relaxed ThTlAu4 crystal. The functional is GGA-PBE.

Calculated values
- magnetic moment (μB per formula unit) = 0.0

Cell: 5.699 5.699 5.699 Å, 60.00 60.00 60.00°
Fractional positions:
1 Au 0.625 0.625 0.126
2 Tl 0.250 0.250 0.250
3 Th 0.000 0.000 0.000
4 Au 0.126 0.625 0.625
5 Au 0.625 0.625 0.625
6 Au 0.625 0.126 0.625



4.
This record from the Alexandria database describes a relaxed ThTl2Au crystal. The functional is GGA-PBE.

Calculated values
- magnetic moment (μB per formula unit) = 0.0

Cell: 3.446 3.446 11.303 Å, 81.23 81.23 60.00°
Fractional positions:
1 Th 0.000 0.000 0.000
2 Tl 0.099 0.099 0.704
3 Tl 0.901 0.901 0.296
4 Au 0.500 0.500 0.500



5.
This record from the Alexandria database describes a relaxed Th3TlAu crystal. The functional is GGA-PBE.

Calculated values
- magnetic moment (μB per formula unit) = 0.0

Cell: 4.526 9.683 6.914 Å, 90.00 90.00 103.53°
Fractional positions:
1 Th 0.278 0.058 0.750
2 Au 0.327 0.154 0.250
3 Th 0.097 0.694 0.507
4 Th 0.903 0.306 0.007
5 Tl 0.494 0.489 0.750
6 Th 0.097 0.694 0.993
7 Au 0.673 0.846 0.750
8 Th 0.722 0.942 0.250
9 Tl 0.506 0.511 0.250
10 Th 0.903 0.306 0.493



6.
This record from the Alexandria database describes a relaxed Th8TlAu2 crystal. The functional is GGA-PBE.

Calculated values
- magnetic moment (μB per formula unit) = 0.0

Cell: 6.337 8.565 8.565 Å, 46.19 90.95 90.95°
Fractional positions:
1 Th 0.117 0.414 0.414
2 Th 0.869 0.209 0.209
3 Th 0.373 0.349 0.846
4 Th 0.883 0.586 0.586
5 Tl 0.000 0.000 0.000
6 Au 0.377 0.259 0.259
7 Th 0.373 0.846 0.349
8 Th 0.627 0.651 0.154
9 Th 0.131 0.791 0.791
10 Au 0.623 0.741 0.741
11 Th 0.627 0.154 0.651



7.
This record from the Alexandria database describes a relaxed Th2TlAu crystal. The functional is GGA-PBE.

Calculated values
- magnetic moment (μB per formula unit) = 0.0

Cell: 3.935 3.935 9.345 Å, 77.85 77.85 60.00°
Fractional positions:
1 Th 0.258 0.258 0.225
2 Tl 0.500 0.500 0.500
3 Th 0.742 0.742 0.775
4 Au 0.000 0.000 0.000



8.
This record from the Alexandria database describes a relaxed Th4Tl5Au2 crystal. The functional is GGA-PBE.

Calculated values
- magnetic moment (μB per formula unit) = 0.0

Cell: 3.420 8.334 10.623 Å, 94.33 90.00 90.00°
Fractional positions:
1 Th 0.500 0.170 0.871
2 Th 0.500 0.748 0.555
3 Au 0.000 0.060 0.634
4 Tl 0.000 0.188 0.157
5 Th 0.500 0.830 0.129
6 Tl 0.000 0.500 0.000
7 Tl 0.000 0.554 0.306
8 Au 0.000 0.940 0.366
9 Tl 0.000 0.446 0.694
10 Tl 0.000 0.812 0.843
11 Th 0.500 0.252 0.445



9.
This record from the Alexandria database describes a relaxed Th2TlAu crystal. The functional is GGA-PBE.

Calculated values
- magnetic moment (μB per formula unit) = 0.0

Cell: 5.399 5.399 5.399 Å, 60.00 60.00 60.00°
Fractional positions:
1 Th 0.750 0.750 0.750
2 Au 0.500 0.500 0.500
3 Th 0.250 0.250 0.250
4 Tl 0.000 0.000 0.000



10.
This record from the Alexandria database describes a relaxed Th3TlAu2 crystal. The functional is GGA-PBE.

Calculated values
- magnetic moment (μB per formula unit) = 0.0

Cell: 3.521 3.521 12.915 Å, 90.00 90.00 90.00°
Fractional positions:
1 Tl 0.500 0.500 0.500
2 Au 0.500 0.500 0.839
3 Th 0.000 0.000 0.000
4 Th 0.000 0.000 0.316
5 Th 0.000 0.000 0.684
6 Au 0.500 0.500 0.161



11.
This record from the Alexandria database describes a relaxed Th4TlAu2 crystal. The functional is GGA-PBE.

Calculated values
- magnetic moment (μB per formula unit) = 0.0

Cell: 4.599 4.599 12.078 Å, 79.03 79.03 60.00°
Fractional positions:
1 Th 0.886 0.886 0.342
2 Th 0.304 0.304 0.088
3 Th 0.114 0.114 0.658
4 Au 0.403 0.403 0.790
5 Tl 0.500 0.500 0.500
6 Th 0.696 0.696 0.912
7 Au 0.597 0.597 0.210



12.
This record from the Alexandria database describes a relaxed ThTl2Au crystal. The functional is GGA-PBE.

Calculated values
- magnetic moment (μB per formula unit) = 0.0

Cell: 4.857 4.641 4.641 Å, 90.00 90.00 90.00°
Fractional positions:
1 Au 0.500 0.000 0.000
2 Th 0.500 0.500 0.500
3 Tl 0.000 0.000 0.500
4 Tl 0.000 0.500 0.000



no.,energy (eV for the cell shown)
1,-20.98
2,-110.51
3,-24.68
4,-14.72
5,-57.88
6,-69.34
7,-21.27
8,-51.29
9,-21.53
10,-33.74
11,-39.50
12,-16.30